1.
VASP calculation (GGA-PBEsol) on TcNiIr2 after structural relaxation.

```
4
Lattice="2.664 -3.717 0.000 2.664 3.717 0.000 0.000 0.000 2.675" Properties=species:S:1:pos:R:3 pbc="T T T"
Tc 0.000 0.000 0.000
Ni 2.664 0.000 0.000
Ir 1.332 1.859 1.338
Ir 1.332 -1.859 1.338
```

Summary:
DFT formation energy in meV per atom: -13
Distance to the lowest polymorph of the same formula in meV per atom: 113
DOS at the Fermi energy in states/eV per atom: 1.217

2.
VASP calculation (GGA-PBEsol) on CrNi2Rh after structural relaxation.

```
4
Lattice="2.555 0.000 0.000 0.000 3.517 0.000 0.000 0.000 5.053" Properties=species:S:1:pos:R:3 pbc="T T T"
Cr 0.000 0.000 0.000
Ni 0.000 0.000 2.385
Ni 1.277 1.759 1.232
Rh 1.277 1.759 3.770
```

Summary:
DFT formation energy in meV per atom: -29
DOS at the Fermi energy in states/eV per atom: 1.183

3.
VASP calculation (GGA-PBEsol) on LaNi2H2 after structural relaxation.

```
5
Lattice="-1.758 1.758 4.611 1.758 -1.758 4.611 1.758 1.758 -4.611" Properties=species:S:1:pos:R:3 pbc="T T T"
La 0.000 0.000 0.000
Ni 0.000 0.000 2.673
Ni 0.000 0.000 6.549
H 1.758 0.000 2.305
H 0.000 1.758 2.305
```

Summary:
DOS at the Fermi energy in states/eV per atom: 0.338
Uncorrected energy in Ry/atom: -0.3745

4.
VASP calculation (GGA-PBEsol) on La6MgGe2S14 after structural relaxation.

```
23
Lattice="10.269 0.000 0.000 -5.134 8.893 0.000 0.000 0.000 5.739" Properties=species:S:1:pos:R:3 pbc="T T T"
La -2.117 4.090 0.000
La 2.108 1.851 2.826
La -0.534 8.682 0.000
La 2.651 5.015 0.000
La 7.612 0.900 2.826
La 5.683 6.142 2.826
Mg 5.134 2.964 4.215
Ge 0.000 0.000 0.426
Ge 0.000 5.929 3.349
S 0.000 0.000 3.988
S -0.350 2.024 1.300
S -3.206 8.185 1.300
S -1.928 6.650 4.206
S 0.339 3.899 4.206
S 0.000 5.929 1.165
S 3.051 2.182 5.587
S 4.745 0.774 2.837
S 1.588 7.237 4.206
S 3.432 4.397 2.837
S 6.854 1.551 5.587
S 3.557 7.578 1.300
S 5.499 5.160 5.587
S 7.227 3.723 2.837
```

Summary:
DOS at the Fermi energy in states/eV per atom: 0.000
Uncorrected energy in Ry/atom: -0.4626

5.
VASP calculation (GGA-PBEsol) on LaScNi2 after structural relaxation.

```
4
Lattice="2.191 1.265 4.620 -2.191 1.265 4.620 0.000 -2.530 4.620" Properties=species:S:1:pos:R:3 pbc="T T T"
La 0.000 0.000 0.000
Sc 0.000 0.000 6.930
Ni 0.000 0.000 2.911
Ni 0.000 0.000 10.948
```

Summary:
DFT formation energy in meV per atom: -303
Distance to the lowest polymorph of the same formula in meV per atom: 39
DOS at the Fermi energy in states/eV per atom: 0.839

6.
VASP calculation (GGA-PBEsol) on BaNaFe4As4 after structural relaxation.

```
10
Lattice="2.707 -6.193 0.000 2.707 6.193 0.000 0.000 0.000 5.418" Properties=species:S:1:pos:R:3 pbc="T T T"
Ba 0.000 0.000 0.000
Na 2.707 0.000 2.709
Fe 1.354 3.096 1.359
Fe 1.354 3.096 4.059
Fe 1.354 -3.096 1.359
Fe 1.354 -3.096 4.059
As 2.707 4.346 2.709
As 2.707 1.850 0.000
As 2.707 -1.850 0.000
As 2.707 -4.346 2.709
```

Summary:
DFT formation energy in meV per atom: -417
DOS at the Fermi energy in states/eV per atom: 0.933